(1)
Entry from Alexandria via LeMat-Bulk: a relaxed Zr2ZnSe2 crystal (PBE).

```
data_Zr2ZnSe2
_chemical_formula_sum 'Zr4 Zn2 Se4'
_cell_length_a 7.643
_cell_length_b 7.643
_cell_length_c 3.384
_cell_angle_alpha 90.00
_cell_angle_beta 90.00
_cell_angle_gamma 90.00
_symmetry_space_group_name_H-M 'P 4/m b m'
_symmetry_Int_Tables_number 127
_symmetry_space_group_name_Hall '-P 4 2ab'
loop_
_atom_site_label
_atom_site_type_symbol
_atom_site_fract_x
_atom_site_fract_y
_atom_site_fract_z
Zr1 Zr 0.154 0.346 0.000
Zn1 Zn 0.000 0.000 0.500
Se1 Se 0.141 0.641 0.500
```

DOS(E_F) (states/eV/cell): 5.4
Relative energy among the computed polymorphs (eV/f.u.): 0.53
Magnetic moment (Bohr magnetons per cell): 0.0
Uncorrected formation energy (eV per atom): -0.685

---

(2)
Entry from Alexandria via LeMat-Bulk: a relaxed Tl2PdRh2Se6 crystal (PBE).

```
data_Tl2PdRh2Se6
_chemical_formula_sum 'Tl4 Pd2 Rh4 Se12'
_cell_length_a 6.598
_cell_length_b 11.477
_cell_length_c 7.551
_cell_angle_alpha 90.00
_cell_angle_beta 107.33
_cell_angle_gamma 90.00
_symmetry_space_group_name_H-M 'C 1 2/m 1'
_symmetry_Int_Tables_number 12
loop_
_symmetry_equiv_pos_as_xyz
'x,y,z'
'-x,-y,-z'
'-x,y,-z'
'x,-y,z'
'x+1/2,y+1/2,z'
'-x+1/2,-y+1/2,-z'
'-x+1/2,y+1/2,-z'
'x+1/2,-y+1/2,z'
loop_
_atom_site_label
_atom_site_type_symbol
_atom_site_fract_x
_atom_site_fract_y
_atom_site_fract_z
Tl1 Tl 0.000 0.167 0.000
Pd1 Pd 0.000 0.000 0.500
Rh1 Rh 0.000 0.331 0.500
Se1 Se 0.222 0.500 0.674
Se2 Se 0.229 0.169 0.675
```

DOS(E_F) (states/eV/cell): 6.1
Magnetic moment (Bohr magnetons per cell): 0.0
Uncorrected formation energy (eV per atom): -0.368

---

(3)
Entry from Alexandria via LeMat-Bulk: a relaxed CrCuPb2 crystal (PBE).

```
data_CrCuPb2
_chemical_formula_sum 'Cr3 Cu3 Pb6'
_cell_length_a 3.4380
_cell_length_b 3.4380
_cell_length_c 26.4210
_cell_angle_alpha 90.00
_cell_angle_beta 90.00
_cell_angle_gamma 120.00
_symmetry_space_group_name_H-M 'R -3 m'
_symmetry_Int_Tables_number 166
_symmetry_space_group_name_Hall '-R 3 2"'
loop_
_atom_site_label
_atom_site_type_symbol
_atom_site_fract_x
_atom_site_fract_y
_atom_site_fract_z
Cr1 Cr 0.0000 0.0000 0.0000
Cu1 Cu 0.0000 0.0000 0.5000
Pb1 Pb 0.0000 0.0000 0.2459
```

DOS(E_F) (states/eV/cell): 9.7
Relative energy among the computed polymorphs (eV/f.u.): 0.72
Magnetic moment (Bohr magnetons per cell): 13.0
ΔE_f (eV/atom): 0.535

---

(4)
Entry from Alexandria via LeMat-Bulk: a relaxed Be2ZnCu crystal (PBE).

```
data_Be2ZnCu
_chemical_formula_sum 'Be8 Zn4 Cu4'
_cell_length_a 5.547
_cell_length_b 5.547
_cell_length_c 5.547
_cell_angle_alpha 90.00
_cell_angle_beta 90.00
_cell_angle_gamma 90.00
_symmetry_space_group_name_H-M 'F -4 3 m'
_symmetry_Int_Tables_number 216
_symmetry_space_group_name_Hall 'F -4 2 3'
loop_
_atom_site_label
_atom_site_type_symbol
_atom_site_fract_x
_atom_site_fract_y
_atom_site_fract_z
Be1 Be 0.000 0.000 0.000
Be2 Be 0.250 0.250 0.250
Zn1 Zn 0.250 0.250 0.750
Cu1 Cu 0.000 0.000 0.500
```

DOS(E_F) (states/eV/cell): 3.7
Magnetic moment (Bohr magnetons per cell): 0.0
ΔE_f (eV/atom): 0.072

---

(5)
Entry from Alexandria via LeMat-Bulk: a relaxed SmP12Ru4 crystal (PBE).

```
data_SmP12Ru4
_chemical_formula_sum 'Sm2 P24 Ru8'
_cell_length_a 8.090
_cell_length_b 8.090
_cell_length_c 8.090
_cell_angle_alpha 90.00
_cell_angle_beta 90.00
_cell_angle_gamma 90.00
_symmetry_space_group_name_H-M 'I m -3'
_symmetry_Int_Tables_number 204
_symmetry_space_group_name_Hall '-I 2 2 3'
loop_
_atom_site_label
_atom_site_type_symbol
_atom_site_fract_x
_atom_site_fract_y
_atom_site_fract_z
Sm1 Sm 0.000 0.000 0.000
P1 P 0.000 0.357 0.143
Ru1 Ru 0.250 0.250 0.250
```

DOS(E_F) (states/eV/cell): 8.0
Magnetic moment (Bohr magnetons per cell): 0.0
ΔE_f (eV/atom): -0.650

---

(6)
Entry from Alexandria via LeMat-Bulk: a relaxed YFeSiH crystal (PBE).

```
data_YFeSiH
_chemical_formula_sum 'Y2 Fe2 Si2 H2'
_cell_length_a 3.890
_cell_length_b 3.890
_cell_length_c 7.292
_cell_angle_alpha 90.00
_cell_angle_beta 90.00
_cell_angle_gamma 90.00
_symmetry_space_group_name_H-M 'P 4/n m m'
_symmetry_Int_Tables_number 129
loop_
_symmetry_equiv_pos_as_xyz
'x,y,z'
'-x,-y,-z'
'-y+1/2,x,z'
'y+1/2,-x,-z'
'-x+1/2,-y+1/2,z'
'x+1/2,y+1/2,-z'
'y,-x+1/2,z'
'-y,x+1/2,-z'
'x+1/2,-y,-z'
'-x+1/2,y,z'
'-y,-x,-z'
'y,x,z'
'-x,y+1/2,-z'
'x,-y+1/2,z'
'y+1/2,x+1/2,-z'
'-y+1/2,-x+1/2,z'
loop_
_atom_site_label
_atom_site_type_symbol
_atom_site_fract_x
_atom_site_fract_y
_atom_site_fract_z
Y1 Y 0.250 0.250 0.165
Fe1 Fe 0.250 0.750 0.500
Si1 Si 0.250 0.250 0.660
H1 H 0.250 0.750 0.000
```

DOS(E_F) (states/eV/cell): 4.9
DFT total energy (eV/atom): -6.595
Magnetic moment (Bohr magnetons per cell): 0.9

---

(7)
Entry from Alexandria via LeMat-Bulk: a relaxed MnReH2 crystal (PBE).

```
data_MnReH2
_chemical_formula_sum 'Mn4 Re4 H8'
_cell_length_a 3.987
_cell_length_b 3.987
_cell_length_c 7.983
_cell_angle_alpha 90.00
_cell_angle_beta 90.00
_cell_angle_gamma 90.00
_symmetry_space_group_name_H-M 'I -4 2 d'
_symmetry_Int_Tables_number 122
_symmetry_space_group_name_Hall 'I -4 2bw'
loop_
_atom_site_label
_atom_site_type_symbol
_atom_site_fract_x
_atom_site_fract_y
_atom_site_fract_z
Mn1 Mn 0.000 0.000 0.000
Re1 Re 0.000 0.000 0.500
H1 H 0.213 0.250 0.125
```

DOS(E_F) (states/eV/cell): 13.1
Relative energy among the computed polymorphs (eV/f.u.): 0.00
Magnetic moment (Bohr magnetons per cell): 0.0

---

(8)
Entry from Alexandria via LeMat-Bulk: a relaxed TbCeErTh crystal (PBE).

```
data_TbCeErTh
_chemical_formula_sum 'Tb4 Ce4 Er4 Th4'
_cell_length_a 7.972
_cell_length_b 7.972
_cell_length_c 7.972
_cell_angle_alpha 90.00
_cell_angle_beta 90.00
_cell_angle_gamma 90.00
_symmetry_space_group_name_H-M 'F -4 3 m'
_symmetry_Int_Tables_number 216
_symmetry_space_group_name_Hall 'F -4 2 3'
loop_
_atom_site_label
_atom_site_type_symbol
_atom_site_fract_x
_atom_site_fract_y
_atom_site_fract_z
Tb1 Tb 0.000 0.000 0.000
Ce1 Ce 0.250 0.250 0.250
Er1 Er 0.250 0.250 0.750
Th1 Th 0.000 0.000 0.500
```

DOS(E_F) (states/eV/cell): 49.7
Relative energy among the computed polymorphs (eV/f.u.): 0.79
Magnetic moment (Bohr magnetons per cell): 9.9
ΔE_f (eV/atom): 0.224

---

(9)
Entry from Alexandria via LeMat-Bulk: a relaxed BiPtN2 crystal (PBE).

```
data_BiPtN2
_chemical_formula_sum 'Bi2 Pt2 N4'
_cell_length_a 3.912
_cell_length_b 3.912
_cell_length_c 15.776
_cell_angle_alpha 88.72
_cell_angle_beta 89.48
_cell_angle_gamma 89.99
_symmetry_space_group_name_H-M 'P -1'
_symmetry_Int_Tables_number 2
loop_
_symmetry_equiv_pos_as_xyz
'x,y,z'
'-x,-y,-z'
loop_
_atom_site_label
_atom_site_type_symbol
_atom_site_fract_x
_atom_site_fract_y
_atom_site_fract_z
Bi1 Bi 0.005 0.012 0.372
Pt1 Pt 0.000 0.500 0.500
Pt2 Pt 0.500 0.000 0.500
N1 N 0.253 0.241 0.082
N2 N 0.381 0.376 0.135
```

DOS(E_F) (states/eV/cell): 2.5
Magnetic moment (Bohr magnetons per cell): 0.0
Uncorrected formation energy (eV per atom): -0.046

---

(10)
Entry from Alexandria via LeMat-Bulk: a relaxed Pr6CN3O2 crystal (PBE).

```
data_Pr6CN3O2
_chemical_formula_sum 'Pr12 C2 N6 O4'
_cell_length_a 6.381
_cell_length_b 11.056
_cell_length_c 6.394
_cell_angle_alpha 90.00
_cell_angle_beta 109.45
_cell_angle_gamma 90.00
_symmetry_space_group_name_H-M 'C 1 2/m 1'
_symmetry_Int_Tables_number 12
loop_
_symmetry_equiv_pos_as_xyz
'x,y,z'
'-x,-y,-z'
'-x,y,-z'
'x,-y,z'
'x+1/2,y+1/2,z'
'-x+1/2,-y+1/2,-z'
'-x+1/2,y+1/2,-z'
'x+1/2,-y+1/2,z'
loop_
_atom_site_label
_atom_site_type_symbol
_atom_site_fract_x
_atom_site_fract_y
_atom_site_fract_z
Pr1 Pr 0.247 0.000 0.246
Pr2 Pr 0.250 0.166 0.755
C1 C 0.000 0.000 0.500
N1 N 0.000 0.164 0.000
N2 N 0.000 0.500 0.000
O1 O 0.000 0.333 0.500
```

DOS(E_F) (states/eV/cell): 5.1
Magnetic moment (Bohr magnetons per cell): 0.0
Uncorrected formation energy (eV per atom): -1.627

---

(11)
Entry from Alexandria via LeMat-Bulk: a relaxed Nb2SnMoOs crystal (PBE).

```
data_Nb2SnMoOs
_chemical_formula_sum 'Nb2 Sn1 Mo1 Os1'
_cell_length_a 4.710
_cell_length_b 4.710
_cell_length_c 5.009
_cell_angle_alpha 90.00
_cell_angle_beta 90.00
_cell_angle_gamma 90.00
_symmetry_space_group_name_H-M 'P 4/m m m'
_symmetry_Int_Tables_number 123
_symmetry_space_group_name_Hall '-P 4 2'
loop_
_atom_site_label
_atom_site_type_symbol
_atom_site_fract_x
_atom_site_fract_y
_atom_site_fract_z
Nb1 Nb 0.000 0.500 0.000
Sn1 Sn 0.000 0.000 0.500
Mo1 Mo 0.000 0.000 0.000
Os1 Os 0.500 0.500 0.500
```

DOS(E_F) (states/eV/cell): 5.7
Magnetic moment (Bohr magnetons per cell): 0.0
ΔE_f (eV/atom): 1.676

---

(12)
Entry from Alexandria via LeMat-Bulk: a relaxed Li2YSiOs crystal (PBE).

```
data_Li2YSiOs
_chemical_formula_sum 'Li2 Y1 Si1 Os1'
_cell_length_a 4.581
_cell_length_b 4.581
_cell_length_c 4.550
_cell_angle_alpha 90.00
_cell_angle_beta 90.00
_cell_angle_gamma 90.00
_symmetry_space_group_name_H-M 'P 4/m m m'
_symmetry_Int_Tables_number 123
_symmetry_space_group_name_Hall '-P 4 2'
loop_
_atom_site_label
_atom_site_type_symbol
_atom_site_fract_x
_atom_site_fract_y
_atom_site_fract_z
Li1 Li 0.000 0.500 0.000
Y1 Y 0.000 0.000 0.500
Si1 Si 0.500 0.500 0.500
Os1 Os 0.500 0.500 0.000
```

DOS(E_F) (states/eV/cell): 1.9
Magnetic moment (Bohr magnetons per cell): 0.0
Uncorrected formation energy (eV per atom): 0.087